The following is a PBE+U calculation of a relaxed structure of NaAc2VO6, from the Alexandria database.

Unit cell a=4.863 b=5.584 c=5.584 alpha=90.00 beta=90.00 gamma=90.00
Fractional coordinates of all 10 atoms:
1 V 0.598 0.000 0.000
2 O 0.712 0.223 0.223
3 O 0.233 0.000 0.000
4 Ac 0.027 0.500 0.000
5 Ac 0.027 0.000 0.500
6 Na 0.588 0.500 0.500
7 O 0.712 0.223 0.777
8 O 0.712 0.777 0.223
9 O 0.712 0.777 0.777
10 O 0.125 0.500 0.500

Calculated values
Space-group type: No. 99

The following is a PBE+U calculation of a relaxed structure of NaAcV2O7, from the Alexandria database.

Unit cell a=3.769 b=3.769 c=10.966 alpha=99.90 beta=99.90 gamma=90.00
Fractional coordinates of all 11 atoms:
1 V 0.891 0.891 0.781
2 O 0.812 0.812 0.624
3 O 0.407 0.907 0.813
4 Na 0.250 0.750 0.500
5 O 0.093 0.593 0.187
6 Ac 0.500 0.500 0.000
7 O 0.188 0.188 0.376
8 V 0.109 0.109 0.219
9 O 0.592 0.092 0.184
10 O 0.000 0.000 0.000
11 O 0.908 0.408 0.816

Calculated values
Space-group type: No. 119

The following is a PBE+U calculation of a relaxed structure of Na4AcV3O12, from the Alexandria database.

Unit cell a=6.943 b=6.943 c=6.943 alpha=109.47 beta=109.47 gamma=109.47
Fractional coordinates of all 20 atoms:
1 O 0.516 0.667 0.849
2 O 0.182 0.333 0.849
3 O 0.849 0.182 0.333
4 O 0.818 0.667 0.151
5 Ac 0.000 0.000 0.000
6 V 0.500 0.000 0.500
7 V 0.000 0.500 0.500
8 Na 0.000 0.000 0.500
9 Na 0.000 0.500 0.000
10 O 0.333 0.849 0.182
11 O 0.667 0.849 0.516
12 Na 0.500 0.000 0.000
13 O 0.151 0.818 0.667
14 O 0.333 0.151 0.484
15 O 0.849 0.516 0.667
16 O 0.484 0.333 0.151
17 Na 0.500 0.500 0.500
18 O 0.667 0.151 0.818
19 V 0.500 0.500 0.000
20 O 0.151 0.484 0.333

Calculated values
Space-group type: No. 204

The following is a PBE+U calculation of a relaxed structure of Na3Ac3VO8, from the Alexandria database.

Unit cell a=7.289 b=7.253 c=7.023 alpha=121.63 beta=90.00 gamma=120.17
Fractional coordinates of all 15 atoms:
1 O 0.784 0.991 0.697
2 Na 0.000 0.500 0.000
3 O 0.198 0.396 0.691
4 O 0.207 0.991 0.697
5 O 0.745 0.490 0.729
6 Ac 0.000 0.500 0.500
7 Ac 0.500 0.000 0.500
8 Na 0.500 0.500 0.000
9 O 0.255 0.510 0.271
10 V 0.000 0.000 0.500
11 O 0.216 0.009 0.303
12 Ac 0.500 0.500 0.500
13 O 0.793 0.009 0.303
14 Na 0.000 0.000 0.000
15 O 0.802 0.604 0.309

Calculated values
Space-group type: No. 12

The following is a PBE+U calculation of a relaxed structure of Na2AcVO4, from the Alexandria database.

Unit cell a=3.478 b=5.940 c=5.985 alpha=69.37 beta=90.00 gamma=90.00
Fractional coordinates of all 8 atoms:
1 O 0.500 0.710 0.287
2 V 0.000 0.500 0.500
3 O 0.500 0.290 0.713
4 O 0.000 0.709 0.710
5 Na 0.000 0.000 0.000
6 Ac 0.500 0.500 0.000
7 O 0.000 0.291 0.290
8 Na 0.500 0.000 0.500

Calculated values
Space-group type: No. 10

The following is a PBE+U calculation of a relaxed structure of NaAcV2O6, from the Alexandria database.

Unit cell a=6.425 b=7.556 c=7.556 alpha=85.55 beta=74.60 gamma=74.60
Fractional coordinates of all 20 atoms:
1 O 0.374 0.848 0.397
2 V 0.225 0.372 0.215
3 O 0.661 0.800 0.966
4 O 0.973 0.303 0.358
5 O 0.339 0.200 0.034
6 O 0.839 0.034 0.200
7 Ac 0.250 0.885 0.115
8 O 0.027 0.697 0.642
9 O 0.473 0.358 0.303
10 O 0.527 0.642 0.697
11 V 0.775 0.628 0.785
12 O 0.126 0.603 0.152
13 Na 0.250 0.275 0.725
14 O 0.161 0.966 0.800
15 V 0.275 0.785 0.628
16 O 0.626 0.152 0.603
17 Na 0.750 0.725 0.275
18 V 0.725 0.215 0.372
19 Ac 0.750 0.115 0.885
20 O 0.874 0.397 0.848

Calculated values
Space-group type: No. 15

The following is a PBE+U calculation of a relaxed structure of Na2AcWO6, from the Alexandria database.

Unit cell a=5.830 b=6.046 c=8.405 alpha=90.00 beta=89.45 gamma=90.00
Fractional coordinates of all 20 atoms:
1 W 0.500 0.000 0.500
2 O 0.786 0.844 0.540
3 O 0.397 0.935 0.718
4 O 0.286 0.656 0.040
5 W 0.000 0.500 0.000
6 Na 0.502 0.464 0.235
7 O 0.897 0.565 0.218
8 Na 0.998 0.964 0.265
9 O 0.603 0.065 0.282
10 O 0.354 0.725 0.429
11 Ac 0.500 0.000 0.000
12 Ac 0.000 0.500 0.500
13 Na 0.002 0.036 0.735
14 O 0.146 0.225 0.071
15 O 0.854 0.775 0.929
16 O 0.103 0.435 0.782
17 O 0.214 0.156 0.460
18 O 0.714 0.344 0.960
19 Na 0.498 0.536 0.765
20 O 0.646 0.275 0.571

Calculated values
Space-group type: No. 14

The following is a PBE+U calculation of a relaxed structure of Na2AcW3O12, from the Alexandria database.

Unit cell a=7.746 b=7.746 c=7.746 alpha=58.62 beta=58.62 gamma=58.62
Fractional coordinates of all 18 atoms:
1 O 0.901 0.398 0.901
2 W 0.000 0.000 0.500
3 O 0.398 0.901 0.901
4 W 0.500 0.000 0.000
5 Na 0.691 0.691 0.691
6 Na 0.309 0.309 0.309
7 O 0.286 0.286 0.928
8 O 0.714 0.714 0.072
9 O 0.099 0.099 0.602
10 O 0.714 0.072 0.714
11 O 0.099 0.602 0.099
12 W 0.000 0.500 0.000
13 O 0.901 0.901 0.398
14 O 0.286 0.928 0.286
15 O 0.602 0.099 0.099
16 O 0.928 0.286 0.286
17 Ac 0.000 0.000 0.000
18 O 0.072 0.714 0.714

Calculated values
Space-group type: No. 166

The following is a PBE+U calculation of a relaxed structure of Na2Ac2WO6, from the Alexandria database.

Unit cell a=6.292 b=6.292 c=5.935 alpha=96.68 beta=96.68 gamma=119.67
Fractional coordinates of all 11 atoms:
1 Ac 0.338 0.662 0.500
2 O 0.759 0.759 0.707
3 O 0.676 0.967 0.311
4 Na 0.126 0.874 0.000
5 Na 0.874 0.126 0.000
6 O 0.241 0.241 0.293
7 O 0.324 0.033 0.689
8 O 0.967 0.676 0.311
9 O 0.033 0.324 0.689
10 W 0.000 0.000 0.500
11 Ac 0.662 0.338 0.500

Calculated values
Space-group type: No. 12

Number 1: energy -72.7 eV/cell. Number 2: energy -80.0 eV/cell. Number 3: energy -120.7 eV/cell. Number 4: energy -99.4 eV/cell. Number 5: energy -50.7 eV/cell. Number 6: energy -146.2 eV/cell. Number 7: energy -130.5 eV/cell. Number 8: energy -125.5 eV/cell. Number 9: energy -74.0 eV/cell.